# Sr3ScGe

A geometry-optimized Sr3ScGe structure (PBE-GGA, the Alexandria database).

```
data_Sr3ScGe
_chemical_formula_sum 'Sr3 Sc1 Ge1'
_cell_length_a 6.0924
_cell_length_b 6.0924
_cell_length_c 6.0924
_cell_angle_alpha 90.00
_cell_angle_beta 90.00
_cell_angle_gamma 90.00
_space_group_name_H-M_alt 'P 1'
_space_group_IT_number 1
loop_
_space_group_symop_operation_xyz
'x,y,z'
loop_
_atom_site_label
_atom_site_fract_x
_atom_site_fract_y
_atom_site_fract_z
_atom_site_occupancy
Sr1 0.0000 0.0000 0.5000 1
Sr2 0.0000 0.5000 0.0000 1
Sr3 0.5000 0.0000 0.0000 1
Sc1 0.5000 0.5000 0.5000 1
Ge1 0.0000 0.0000 0.0000 1
```

Computed properties:
SG	No. 221
E_tot	-3.0409	eV/atom
DFT formation energy	158	meV/atom
energy above the lowest structure with this stoichiometry	0	meV per atom
M_tot	2.180	μB/cell



# NpGaSn2Cl8

A geometry-optimized NpGaSn2Cl8 structure (PBE-GGA, the Alexandria database).

```
data_NpGaSn2Cl8
_chemical_formula_sum 'Np1 Ga1 Sn2 Cl8'
_cell_length_a 6.6050
_cell_length_b 6.7756
_cell_length_c 8.7876
_cell_angle_alpha 88.59
_cell_angle_beta 88.80
_cell_angle_gamma 89.01
_space_group_name_H-M_alt 'P 1'
_space_group_IT_number 1
loop_
_space_group_symop_operation_xyz
'x,y,z'
loop_
_atom_site_label
_atom_site_fract_x
_atom_site_fract_y
_atom_site_fract_z
_atom_site_occupancy
Np1 0.0000 0.0000 0.0000 1
Ga1 0.0000 0.0000 0.5000 1
Sn1 0.4997 0.4945 0.7435 1
Sn2 0.5003 0.5055 0.2565 1
Cl1 0.2121 0.8177 0.7704 1
Cl2 0.2416 0.8536 0.2277 1
Cl3 0.2571 0.3148 0.9715 1
Cl4 0.2870 0.3411 0.5306 1
Cl5 0.7130 0.6589 0.4694 1
Cl6 0.7429 0.6852 0.0285 1
Cl7 0.7584 0.1464 0.7723 1
Cl8 0.7879 0.1823 0.2296 1
```

Computed properties:
formation energy from raw total energies	-1180	meV per atom
SG	No. 2
E_tot	-4.4088	eV/atom
M_tot	4.000	μB/cell



# HfRh2

A geometry-optimized HfRh2 structure (PBE-GGA, the Alexandria database).

```
data_HfRh2
_chemical_formula_sum 'Hf2 Rh4'
_cell_length_a 6.5653
_cell_length_b 6.5653
_cell_length_c 3.8570
_cell_angle_alpha 90.00
_cell_angle_beta 90.00
_cell_angle_gamma 144.62
_space_group_name_H-M_alt 'P 1'
_space_group_IT_number 1
loop_
_space_group_symop_operation_xyz
'x,y,z'
loop_
_atom_site_label
_atom_site_fract_x
_atom_site_fract_y
_atom_site_fract_z
_atom_site_occupancy
Hf1 0.1501 0.8499 0.0000 1
Hf2 0.8499 0.1501 0.0000 1
Rh1 0.0000 0.0000 0.5000 1
Rh2 0.3334 0.6666 0.5000 1
Rh3 0.5000 0.5000 0.0000 1
Rh4 0.6666 0.3334 0.5000 1
```

Computed properties:
SG	No. 65
E_tot	-9.0794	eV/atom
DFT formation energy	-861	meV/atom
M_tot	0.000	μB/cell



# NaCe2PaS5

A geometry-optimized NaCe2PaS5 structure (PBE-GGA, the Alexandria database).

```
data_NaCe2PaS5
_chemical_formula_sum 'Na1 Ce2 Pa1 S5'
_cell_length_a 8.2282
_cell_length_b 8.2282
_cell_length_c 8.2282
_cell_angle_alpha 144.20
_cell_angle_beta 129.01
_cell_angle_gamma 63.86
_space_group_name_H-M_alt 'P 1'
_space_group_IT_number 1
loop_
_space_group_symop_operation_xyz
'x,y,z'
loop_
_atom_site_label
_atom_site_fract_x
_atom_site_fract_y
_atom_site_fract_z
_atom_site_occupancy
Na1 0.0000 0.0000 0.0000 1
Ce1 0.2973 0.7973 0.5000 1
Ce2 0.7027 0.2027 0.5000 1
Pa1 0.5000 0.5000 0.0000 1
S1 0.1107 0.3507 0.7599 1
S2 0.4092 0.6493 0.7599 1
S3 0.5000 0.0000 0.5000 1
S4 0.5908 0.3507 0.2401 1
S5 0.8893 0.6493 0.2401 1
```

Computed properties:
formation energy from raw total energies	-1594	meV per atom
SG	No. 71
E_tot	-6.4071	eV/atom
M_tot	2.838	μB/cell



# DyY4Mg

A geometry-optimized DyY4Mg structure (PBE-GGA, the Alexandria database).

```
data_DyY4Mg
_chemical_formula_sum 'Dy1 Y4 Mg1'
_cell_length_a 3.5957
_cell_length_b 3.5957
_cell_length_c 14.2724
_cell_angle_alpha 90.00
_cell_angle_beta 90.00
_cell_angle_gamma 90.00
_space_group_name_H-M_alt 'P 1'
_space_group_IT_number 1
loop_
_space_group_symop_operation_xyz
'x,y,z'
loop_
_atom_site_label
_atom_site_fract_x
_atom_site_fract_y
_atom_site_fract_z
_atom_site_occupancy
Dy1 0.0000 0.0000 0.0000 1
Y1 0.0000 0.0000 0.3495 1
Y2 0.0000 0.0000 0.6505 1
Y3 0.5000 0.5000 0.1745 1
Y4 0.5000 0.5000 0.8255 1
Mg1 0.5000 0.5000 0.5000 1
```

Computed properties:
SG	No. 123
E_tot	-5.3591	eV/atom
DFT formation energy	-17	meV/atom
energy above the lowest structure with this stoichiometry	0	meV per atom
M_tot	0.000	μB/cell



# Ba2VTcBi

A geometry-optimized Ba2VTcBi structure (PBE-GGA, the Alexandria database).

```
data_Ba2VTcBi
_chemical_formula_sum 'Ba2 V1 Tc1 Bi1'
_cell_length_a 6.3655
_cell_length_b 6.3655
_cell_length_c 4.3213
_cell_angle_alpha 90.00
_cell_angle_beta 90.00
_cell_angle_gamma 90.00
_space_group_name_H-M_alt 'P 1'
_space_group_IT_number 1
loop_
_space_group_symop_operation_xyz
'x,y,z'
loop_
_atom_site_label
_atom_site_fract_x
_atom_site_fract_y
_atom_site_fract_z
_atom_site_occupancy
Ba1 0.0000 0.5000 0.0000 1
Ba2 0.5000 0.0000 0.0000 1
V1 0.0000 0.0000 0.0000 1
Tc1 0.0000 0.0000 0.5000 1
Bi1 0.5000 0.5000 0.5000 1
```

Computed properties:
SG	No. 123
E_tot	-4.8720	eV/atom
DFT formation energy	570	meV/atom
M_tot	0.000	μB/cell